No. 1
Below is a geometry-optimized Bi2SeS4 structure, with properties calculated at the PBE level.

a = 4.0791 Å, b = 4.0873 Å, c = 15.1571 Å
α = 96.94°, β = 89.80°, γ = 59.86°
Sites, in units of the cell vectors:
Bi  0.2896  0.4153  0.1330
Bi  0.7104  0.5847  0.8670
S  0.8908  0.2216  0.4700
S  0.5922  0.8062  0.2278
S  0.1092  0.7784  0.5300
S  0.4078  0.1938  0.7722
Se  0.0000  0.0000  0.0000

Properties
total DFT energy (no corrections): -4.112 eV per atom
symmetry: P-1
formation energy from raw total energies: -146 meV/atom
calculated volume: 30.9 Å³ per atom
DOS at the Fermi energy: 1.51 states/eV per cell

No. 2
Below is a geometry-optimized Bi4Se3S3 structure, with properties calculated at the PBE level.

a = 4.0953 Å, b = 11.3954 Å, c = 12.0317 Å
α = 90.00°, β = 90.00°, γ = 90.00°
Sites, in units of the cell vectors:
Se  0.5000  0.8873  0.9457
Se  0.0000  0.3842  0.5525
Se  0.5000  0.5478  0.7808
Se  0.0000  0.6158  0.0525
Se  0.5000  0.4522  0.2808
Se  0.5000  0.1127  0.4457
S  0.0000  0.9431  0.2103
S  0.5000  0.1967  0.1244
S  0.0000  0.7025  0.3819
S  0.0000  0.2975  0.8819
S  0.0000  0.0569  0.7103
S  0.5000  0.8033  0.6244
Bi  0.0000  0.9196  0.5248
Bi  0.0000  0.7112  0.8425
Bi  0.5000  0.5884  0.4821
Bi  0.5000  0.7911  0.1549
Bi  0.0000  0.0804  0.0248
Bi  0.0000  0.2888  0.3425
Bi  0.5000  0.2089  0.6549
Bi  0.5000  0.4116  0.9821

Properties
total DFT energy (no corrections): -4.188 eV per atom
symmetry: Pmc2_1
formation energy from raw total energies: -352 meV/atom
calculated volume: 28.1 Å³ per atom

Q: Which value of calculated volume does entry 1 give?
A: 30.9 Å³ per atom

Q: Number 2 is which compound?
A: Bi4Se3S3

Q: The lowest formation energy from raw total energies belongs to which entry?
A: Bi4Se3S3

Q: Which value of formation energy from raw total energies does entry 1 give?
A: -146 meV/atom